Entry 1:
Compound: Ta2GeMo
Source: Alexandria
Functional: GGA-PBE
Structure: relaxed

a b c (Å): 3.6722 4.2677 4.2677
angles (deg): 90.00 90.00 90.00
With the nearest neighbours (Å) after each atom.
Element x y z (fractional)
1 Ge 0.5000 0.5000 0.5000  8 Ta 2.82, 4 Mo 3.02
2 Mo 0.5000 0.0000 0.0000  8 Ta 2.82, 4 Ge 3.02
3 Ta 0.0000 0.0000 0.5000  4 Ge 2.82, 4 Mo 2.82, 4 Ta 3.02
4 Ta 0.0000 0.5000 0.0000  4 Ge 2.82, 4 Mo 2.82, 4 Ta 3.02

## Properties
N(E_F) (states/eV per atom): 0.586
DFT formation energy (meV per atom): -95.7

=====

Entry 2:
Compound: Re2MoHRh
Source: Alexandria
Functional: GGA-PBE
Structure: relaxed

a b c (Å): 3.9390 3.9390 3.9863
angles (deg): 90.00 90.00 90.00
With the nearest neighbours (Å) after each atom.
Element x y z (fractional)
1 Rh 0.5000 0.5000 0.5000  4 Mo 2.79, 8 Re 2.80
2 Re 0.0000 0.5000 0.0000  2 H 1.97
3 Re 0.5000 0.0000 0.0000  2 H 1.97
4 H 0.0000 0.0000 0.0000  4 Re 1.97, 2 Mo 1.99
5 Mo 0.0000 0.0000 0.5000  2 H 1.99

## Properties
Relative energy among the computed polymorphs (meV/atom): 15
N(E_F) (states/eV per atom): 0.752

=====

Entry 3:
Compound: SmTlSn2Te4
Source: Alexandria
Functional: GGA-PBE
Structure: relaxed

a b c (Å): 4.5509 7.9216 7.9868
angles (deg): 71.48 90.00 90.00
With the nearest neighbours (Å) after each atom.
Element x y z (fractional)
1 Sn 0.5000 0.0000 0.5000  6 Te 3.14-3.16
2 Sn 0.0000 0.0000 0.0000  6 Te 3.30
3 Tl 0.5000 0.5000 0.0000  6 Te 3.32-3.35
4 Sm 0.0000 0.5000 0.5000  6 Te 3.16-3.21
5 Te 0.5000 0.2500 0.7362  3 Sn 3.14-3.30, 2 Sm 3.21, 1 Tl 3.32
6 Te 0.5000 0.7500 0.2638  3 Sn 3.14-3.30, 2 Sm 3.21, 1 Tl 3.32
7 Te 0.0000 0.7584 0.7303  1 Sm 3.16, 3 Sn 3.16-3.30, 2 Tl 3.35
8 Te 0.0000 0.2417 0.2697  1 Sm 3.16, 3 Sn 3.16-3.30, 2 Tl 3.35

## Properties
E_tot (eV/atom): -4.08

=====

Entry 4:
Compound: TaTcO2F
Source: Alexandria
Functional: GGA-PBE
Structure: relaxed

a b c (Å): 3.9225 3.9225 4.0821
angles (deg): 90.00 90.00 90.00
With the nearest neighbours (Å) after each atom.
Element x y z (fractional)
1 O 0.5000 0.0000 0.0000  2 Tc 1.96
2 O 0.0000 0.5000 0.0000  2 Tc 1.96
3 Ta 0.5000 0.5000 0.5000  4 F 2.77, 8 O 2.83
4 F 0.0000 0.0000 0.5000  2 Tc 2.04
5 Tc 0.0000 0.0000 0.0000  4 O 1.96, 2 F 2.04

## Properties
E_tot (eV/atom): -6.97
N(E_F) (states/eV per atom): 1.177

=====

Entry 5:
Compound: Nd3Si6Pd2Pt
Source: Alexandria
Functional: GGA-PBE
Structure: relaxed

a b c (Å): 5.7760 5.7760 8.2284
angles (deg): 90.00 90.00 120.00
With the nearest neighbours (Å) after each atom.
Element x y z (fractional)
1 Nd 0.3333 0.6667 0.6227  9 Si 2.99-3.09
2 Nd 0.0000 0.0000 0.0000  6 Si 3.05, 6 Pd 3.35
3 Nd 0.6667 0.3333 0.3773  9 Si 2.99-3.09
4 Si 0.1908 0.8092 0.2894  2 Si 2.47, 1 Pd 2.50, 1 Pt 2.58
5 Si 0.3816 0.1908 0.7106  2 Si 2.47, 1 Pd 2.50, 1 Pt 2.58
6 Si 0.8092 0.6184 0.7106  2 Si 2.47, 1 Pd 2.50, 1 Pt 2.58
7 Si 0.8092 0.1908 0.7106  2 Si 2.47, 1 Pd 2.50, 1 Pt 2.58
8 Si 0.1908 0.3816 0.2894  2 Si 2.47, 1 Pd 2.50, 1 Pt 2.58
9 Si 0.6184 0.8092 0.2894  2 Si 2.47, 1 Pd 2.50, 1 Pt 2.58
10 Pt 0.0000 0.0000 0.5000  6 Si 2.58
11 Pd 0.6667 0.3333 0.9606  3 Si 2.50
12 Pd 0.3333 0.6667 0.0394  3 Si 2.50

## Properties
E_tot (eV/atom): -5.78
N(E_F) (states/eV per atom): 0.298